# 1
The following is a DFT calculation (GGA-PBE) of a relaxed structure of Tb7Nd2Th3.

Geometry as POSCAR:
```
Tb7Nd2Th3
1.0
6.395 0.000 0.000
0.000 3.517 0.000
-2.034 0.000 17.419
Tb Nd Th
7 2 3
direct
0.000 0.000 0.000
0.239 0.500 0.167
0.260 0.500 0.505
0.282 0.000 0.837
0.718 0.000 0.163
0.740 0.500 0.495
0.761 0.500 0.833
0.042 0.500 0.671
0.958 0.500 0.329
0.463 0.000 0.338
0.500 0.500 0.000
0.537 0.000 0.662
```

## Properties
DFT formation energy ... 98 meV per atom
DOS(E_F) ... 17.51 states/eV/f.u.


# 2
The following is a DFT calculation (GGA-PBE) of a relaxed structure of MgMoIrRh.

Geometry as POSCAR:
```
MgMoIrRh
1.0
0.000 3.124 3.124
3.124 0.000 3.124
3.124 3.124 0.000
Mg Mo Ir Rh
1 1 1 1
direct
0.000 0.000 0.000
0.500 0.500 0.500
0.250 0.250 0.250
0.750 0.750 0.750
```

## Properties
DFT formation energy ... -147 meV per atom
DOS(E_F) ... 6.18 states/eV/f.u.


# 3
The following is a DFT calculation (GGA-PBE) of a relaxed structure of Cd4CoRh.

Geometry as POSCAR:
```
Cd4CoRh
1.0
0.000 3.860 3.860
3.860 0.000 3.860
3.860 3.860 0.000
Cd Co Rh
4 1 1
direct
0.125 0.125 0.125
0.125 0.125 0.625
0.125 0.625 0.125
0.625 0.125 0.125
0.750 0.750 0.750
0.500 0.500 0.500
```

## Properties
DFT formation energy ... 510 meV per atom
DOS(E_F) ... 8.59 states/eV/f.u.


# 4
The following is a DFT calculation (GGA-PBE) of a relaxed structure of Ce3DyTl4Se8.

Geometry as POSCAR:
```
Ce3DyTl4Se8
1.0
4.308 2.487 7.737
-4.308 2.487 7.737
0.000 -4.975 7.737
Ce Dy Tl Se
3 1 4 8
direct
0.000 0.500 0.500
0.500 0.000 0.500
0.500 0.500 0.000
0.000 0.000 0.000
0.000 0.000 0.500
0.000 0.500 0.000
0.500 0.000 0.000
0.500 0.500 0.500
0.232 0.232 0.743
0.232 0.743 0.232
0.257 0.768 0.768
0.263 0.263 0.263
0.737 0.737 0.737
0.743 0.232 0.232
0.768 0.257 0.768
0.768 0.768 0.257
```

## Properties
Formation energy from raw total energies ... -2056.9 kJ/mol of formula units
DOS(E_F) ... 19.82 states/eV/f.u.


# 5
The following is a DFT calculation (GGA-PBE) of a relaxed structure of NdPuThIn.

Geometry as POSCAR:
```
NdPuThIn
1.0
0.000 3.874 3.874
3.874 0.000 3.874
3.874 3.874 0.000
Nd Pu Th In
1 1 1 1
direct
0.000 0.000 0.000
0.500 0.500 0.500
0.250 0.250 0.250
0.750 0.750 0.750
```

## Properties
DFT formation energy ... 62 meV per atom
DOS(E_F) ... 12.59 states/eV/f.u.


# 6
The following is a DFT calculation (GGA-PBE) of a relaxed structure of Te2RhBr.

Geometry as POSCAR:
```
Te2RhBr
1.0
9.074 0.000 0.000
0.000 3.999 0.000
0.000 0.000 12.641
Te Rh Br
8 4 4
direct
0.143 0.250 0.227
0.149 0.750 0.952
0.351 0.250 0.452
0.357 0.750 0.727
0.643 0.250 0.273
0.649 0.750 0.548
0.851 0.250 0.048
0.857 0.750 0.773
0.005 0.750 0.134
0.495 0.250 0.634
0.505 0.750 0.366
0.995 0.250 0.866
0.089 0.750 0.615
0.411 0.250 0.115
0.589 0.750 0.885
0.911 0.250 0.385
```

## Properties
Formation energy from raw total energies ... -87.4 kJ/mol of formula units
DOS(E_F) ... 0.13 states/eV/f.u.


Values of magnetization, in order: 0.00 0.01 2.17 3.01 6.74 0.00, all in μB per formula unit.